# NbVCrCo, relaxed, DFT PBE-GGA
data_NbVCrCo
_chemical_formula_sum 'Nb1 V1 Cr1 Co1'
_cell_length_a 4.2415
_cell_length_b 4.2415
_cell_length_c 4.2415
_cell_angle_alpha 60.00
_cell_angle_beta 60.00
_cell_angle_gamma 60.00
_symmetry_space_group_name_H-M 'P 1'
_symmetry_Int_Tables_number 1
loop_
_symmetry_equiv_pos_as_xyz
'x,y,z'
loop_
_atom_site_label
_atom_site_fract_x
_atom_site_fract_y
_atom_site_fract_z
Cr1 0.5000 0.5000 0.5000
Nb1 0.7500 0.7500 0.7500
Co1 0.0000 0.0000 0.0000
V1 0.2500 0.2500 0.2500
# Space group = No. 216
# Energy of formation = -0.0187 eV per atom
# Crystal system = cubic